! Y2V3Ge4 | Alexandria via LeMat-Bulk | GGA-PBE | optimized geometry; values from VASP
! **Energy of formation from the pure elements**: -0.584 eV/atom
! **Total moment**: 0.0 Bohr magnetons per cell
! **Density of states at the Fermi level**: 0.7240 states/eV/atom
! **E**: -128.0 eV/cell
&SYSTEM
  ibrav = 0, nat = 18, ntyp = 3
/
ATOMIC_SPECIES
Y 88.91 Y.upf
V 50.94 V.upf
Ge 72.64 Ge.upf
CELL_PARAMETERS angstrom
6.959 0.000 0.000
0.000 6.957 0.000
-2.296 0.000 6.461
ATOMIC_POSITIONS crystal
Y 0.187 0.170 0.056
Y 0.187 0.330 0.556
Y 0.813 0.670 0.444
Y 0.813 0.830 0.944
V 0.258 0.667 0.247
V 0.258 0.833 0.747
V 0.500 0.000 0.500
V 0.500 0.500 0.000
V 0.742 0.167 0.253
V 0.742 0.333 0.753
Ge 0.094 0.547 0.864
Ge 0.094 0.953 0.364
Ge 0.500 0.135 0.865
Ge 0.500 0.365 0.365
Ge 0.500 0.635 0.635
Ge 0.500 0.865 0.135
Ge 0.906 0.047 0.636
Ge 0.906 0.453 0.136

! Tl2CrRe | Alexandria via LeMat-Bulk | GGA-PBE | optimized geometry; values from VASP
! **Distance to the lowest polymorph of the same formula**: 14 meV/atom
! **Energy of formation from the pure elements**: 0.530 eV/atom
! **Total moment**: 0.0 Bohr magnetons per cell
! **Density of states at the Fermi level**: 0.8817 states/eV/atom
! **E**: -24.7 eV/cell
&SYSTEM
  ibrav = 0, nat = 4, ntyp = 3
/
ATOMIC_SPECIES
Tl 204.38 Tl.upf
Cr 52.00 Cr.upf
Re 186.21 Re.upf
CELL_PARAMETERS angstrom
3.041 0.000 0.000
0.000 3.041 0.000
0.000 0.000 8.817
ATOMIC_POSITIONS crystal
Tl 0.000 0.000 0.000
Tl 0.500 0.500 0.351
Cr 0.000 0.000 0.599
Re 0.500 0.500 0.737

! GaSN2O | Alexandria via LeMat-Bulk | GGA-PBE | optimized geometry; values from VASP
! **E_form (uncorrected)**: 1054 meV/atom
! **Total moment**: 0.0 Bohr magnetons per cell
! **Density of states at the Fermi level**: 0.1535 states/eV/atom
! **E**: -23.5 eV/cell
&SYSTEM
  ibrav = 0, nat = 5, ntyp = 4
/
ATOMIC_SPECIES
Ga 69.72 Ga.upf
S 32.06 S.upf
N 14.01 N.upf
O 16.00 O.upf
CELL_PARAMETERS angstrom
3.564 0.000 0.000
0.000 3.564 0.000
0.000 0.000 3.672
ATOMIC_POSITIONS crystal
Ga 0.000 0.000 0.000
S 0.500 0.500 0.500
N 0.000 0.500 0.500
N 0.500 0.000 0.500
O 0.500 0.500 0.000

! LiAl4Cd2O8 | Alexandria via LeMat-Bulk | GGA-PBE | optimized geometry; values from VASP
! **Distance to the lowest polymorph of the same formula**: 0 meV/atom
! **E_form (uncorrected)**: -2164 meV/atom
! **Total moment**: 0.0 Bohr magnetons per cell
! **Density of states at the Fermi level**: 0.1310 states/eV/atom
! **E**: -90.8 eV/cell
&SYSTEM
  ibrav = 0, nat = 15, ntyp = 4
/
ATOMIC_SPECIES
Li 6.94 Li.upf
Al 26.98 Al.upf
Cd 112.41 Cd.upf
O 16.00 O.upf
CELL_PARAMETERS angstrom
2.944 1.700 5.310
-2.944 1.700 5.310
0.000 -3.399 5.310
ATOMIC_POSITIONS crystal
Li 0.000 0.000 0.000
Al 0.000 0.500 0.500
Al 0.500 0.000 0.500
Al 0.500 0.500 0.000
Al 0.500 0.500 0.500
Cd 0.150 0.150 0.150
Cd 0.850 0.850 0.850
O 0.261 0.261 0.701
O 0.261 0.701 0.261
O 0.282 0.282 0.282
O 0.299 0.739 0.739
O 0.701 0.261 0.261
O 0.718 0.718 0.718
O 0.739 0.299 0.739
O 0.739 0.739 0.299

! TbHo2Zn2In2 | Alexandria via LeMat-Bulk | GGA-PBE | optimized geometry; values from VASP
! **Energy of formation from the pure elements**: -0.272 eV/atom
! **Total moment**: 0.0 Bohr magnetons per cell
! **Density of states at the Fermi level**: 0.4320 states/eV/atom
! **E**: -23.7 eV/cell
&SYSTEM
  ibrav = 0, nat = 7, ntyp = 4
/
ATOMIC_SPECIES
Tb 158.93 Tb.upf
Ho 164.93 Ho.upf
Zn 65.41 Zn.upf
In 114.82 In.upf
CELL_PARAMETERS angstrom
2.351 1.358 9.026
-2.351 1.358 9.026
0.000 -2.715 9.026
ATOMIC_POSITIONS crystal
Tb 0.000 0.000 0.000
Ho 0.128 0.128 0.128
Ho 0.872 0.872 0.872
Zn 0.398 0.398 0.398
Zn 0.602 0.602 0.602
In 0.262 0.262 0.262
In 0.738 0.738 0.738

! Pu4BiC2 | Alexandria via LeMat-Bulk | GGA-PBE | optimized geometry; values from VASP
! **Energy of formation from the pure elements**: 0.000 eV/atom
! **Total moment**: 21.9 Bohr magnetons per cell
! **Density of states at the Fermi level**: 3.6752 states/eV/atom
! **E**: -159.3 eV/cell
&SYSTEM
  ibrav = 0, nat = 14, ntyp = 3
/
ATOMIC_SPECIES
Pu 244.00 Pu.upf
Bi 208.98 Bi.upf
C 12.01 C.upf
CELL_PARAMETERS angstrom
1.864 -6.280 0.000
1.864 6.280 0.000
0.000 0.000 12.667
ATOMIC_POSITIONS crystal
Pu 0.000 0.000 0.000
Pu 0.000 0.000 0.500
Pu 0.261 0.739 0.597
Pu 0.261 0.739 0.903
Pu 0.386 0.614 0.250
Pu 0.614 0.386 0.750
Pu 0.739 0.261 0.097
Pu 0.739 0.261 0.403
Bi 0.093 0.907 0.250
Bi 0.907 0.093 0.750
C 0.372 0.628 0.060
C 0.372 0.628 0.440
C 0.628 0.372 0.560
C 0.628 0.372 0.940

! PmHo4Ag5 | Alexandria via LeMat-Bulk | GGA-PBE | optimized geometry; values from VASP
! **Energy of formation from the pure elements**: -0.320 eV/atom
! **Total moment**: 0.0 Bohr magnetons per cell
! **Density of states at the Fermi level**: 0.4466 states/eV/atom
! **E**: -40.5 eV/cell
&SYSTEM
  ibrav = 0, nat = 10, ntyp = 3
/
ATOMIC_SPECIES
Pm 145.00 Pm.upf
Ho 164.93 Ho.upf
Ag 107.87 Ag.upf
CELL_PARAMETERS angstrom
3.606 0.000 0.000
0.000 3.606 0.000
0.000 0.000 18.544
ATOMIC_POSITIONS crystal
Pm 0.000 0.000 0.000
Ho 0.000 0.000 0.204
Ho 0.000 0.000 0.401
Ho 0.000 0.000 0.599
Ho 0.000 0.000 0.796
Ag 0.500 0.500 0.108
Ag 0.500 0.500 0.303
Ag 0.500 0.500 0.500
Ag 0.500 0.500 0.697
Ag 0.500 0.500 0.892

! TaIn2Pt | Alexandria via LeMat-Bulk | GGA-PBE | optimized geometry; values from VASP
! **Distance to the lowest polymorph of the same formula**: 174 meV/atom
! **Energy of formation from the pure elements**: 0.039 eV/atom
! **Total moment**: 0.0 Bohr magnetons per cell
! **Density of states at the Fermi level**: 0.6946 states/eV/atom
! **E**: -46.4 eV/cell
&SYSTEM
  ibrav = 0, nat = 8, ntyp = 3
/
ATOMIC_SPECIES
Ta 180.95 Ta.upf
In 114.82 In.upf
Pt 195.08 Pt.upf
CELL_PARAMETERS angstrom
4.128 0.000 0.000
0.000 4.128 0.000
0.000 0.000 8.957
ATOMIC_POSITIONS crystal
Ta 0.000 0.000 0.000
Ta 0.500 0.500 0.500
In 0.000 0.000 0.500
In 0.000 0.500 0.750
In 0.500 0.000 0.250
In 0.500 0.500 0.000
Pt 0.000 0.500 0.250
Pt 0.500 0.000 0.750

! TbAlZn6Cu | Alexandria via LeMat-Bulk | GGA-PBE | optimized geometry; values from VASP
! **Energy of formation from the pure elements**: 0.016 eV/atom
! **Total moment**: 0.0 Bohr magnetons per cell
! **Density of states at the Fermi level**: 0.4525 states/eV/atom
! **E**: -39.9 eV/cell
&SYSTEM
  ibrav = 0, nat = 18, ntyp = 4
/
ATOMIC_SPECIES
Tb 158.93 Tb.upf
Al 26.98 Al.upf
Zn 65.41 Zn.upf
Cu 63.55 Cu.upf
CELL_PARAMETERS angstrom
-3.390 4.446 5.422
3.390 -4.446 5.422
3.390 4.446 -5.422
ATOMIC_POSITIONS crystal
Tb 0.451 0.201 0.250
Tb 0.549 0.799 0.750
Al 0.000 0.000 0.500
Al 0.000 0.500 0.000
Zn 0.135 0.434 0.318
Zn 0.135 0.817 0.701
Zn 0.175 0.925 0.250
Zn 0.240 0.490 0.750
Zn 0.384 0.183 0.818
Zn 0.384 0.566 0.201
Zn 0.616 0.434 0.799
Zn 0.616 0.817 0.182
Zn 0.760 0.510 0.250
Zn 0.825 0.075 0.750
Zn 0.865 0.183 0.299
Zn 0.865 0.566 0.682
Cu 0.000 0.000 0.000
Cu 0.500 0.000 0.500

! Hg3Ge2Au4 | Alexandria via LeMat-Bulk | GGA-PBE | optimized geometry; values from VASP
! **Energy of formation from the pure elements**: 0.047 eV/atom
! **Total moment**: 0.0 Bohr magnetons per cell
! **Density of states at the Fermi level**: 0.2621 states/eV/atom
! **E**: -22.8 eV/cell
&SYSTEM
  ibrav = 0, nat = 9, ntyp = 3
/
ATOMIC_SPECIES
Hg 200.59 Hg.upf
Ge 72.64 Ge.upf
Au 196.97 Au.upf
CELL_PARAMETERS angstrom
3.459 0.000 0.000
1.711 6.487 0.000
1.695 2.659 8.642
ATOMIC_POSITIONS crystal
Hg 0.000 0.000 0.000
Hg 0.393 0.469 0.737
Hg 0.607 0.531 0.263
Ge 0.300 0.044 0.347
Ge 0.700 0.956 0.653
Au 0.094 0.269 0.550
Au 0.305 0.316 0.074
Au 0.695 0.684 0.926
Au 0.906 0.731 0.450

! Mg2In6Bi | Alexandria via LeMat-Bulk | GGA-PBE | optimized geometry; values from VASP
! **Energy of formation from the pure elements**: -0.022 eV/atom
! **Total moment**: 0.0 Bohr magnetons per cell
! **Density of states at the Fermi level**: 0.4342 states/eV/atom
! **E**: -23.7 eV/cell
&SYSTEM
  ibrav = 0, nat = 9, ntyp = 3
/
ATOMIC_SPECIES
Mg 24.30 Mg.upf
In 114.82 In.upf
Bi 208.98 Bi.upf
CELL_PARAMETERS angstrom
6.924 -1.680 0.000
6.924 1.680 0.000
-2.819 0.000 10.203
ATOMIC_POSITIONS crystal
Mg 0.162 0.162 0.224
Mg 0.838 0.838 0.776
In 0.172 0.172 0.569
In 0.176 0.176 0.883
In 0.493 0.493 0.662
In 0.507 0.507 0.338
In 0.824 0.824 0.117
In 0.828 0.828 0.431
Bi 0.500 0.500 0.000

! VCl | Alexandria via LeMat-Bulk | GGA-PBE | optimized geometry; values from VASP
! **E_form (uncorrected)**: -178 meV/atom
! **Total moment**: 0.0 Bohr magnetons per cell
! **Density of states at the Fermi level**: 0.7541 states/eV/atom
! **E**: -45.3 eV/cell
&SYSTEM
  ibrav = 0, nat = 8, ntyp = 2
/
ATOMIC_SPECIES
V 50.94 V.upf
Cl 35.45 Cl.upf
CELL_PARAMETERS angstrom
0.000 4.013 4.859
3.738 0.000 4.859
3.738 4.013 0.000
ATOMIC_POSITIONS crystal
V 0.012 0.012 0.238
V 0.238 0.238 0.012
V 0.762 0.762 0.988
V 0.988 0.988 0.762
Cl 0.159 0.591 0.591
Cl 0.409 0.841 0.841
Cl 0.591 0.159 0.159
Cl 0.841 0.409 0.409

! AsRuN3 | Alexandria via LeMat-Bulk | GGA-PBE | optimized geometry; values from VASP
! **E_form (uncorrected)**: 1747 meV/atom
! **Total moment**: 0.0 Bohr magnetons per cell
! **Density of states at the Fermi level**: 0.6583 states/eV/atom
! **E**: -30.2 eV/cell
&SYSTEM
  ibrav = 0, nat = 5, ntyp = 3
/
ATOMIC_SPECIES
As 74.92 As.upf
Ru 101.07 Ru.upf
N 14.01 N.upf
CELL_PARAMETERS angstrom
3.695 0.000 0.000
0.000 3.695 0.000
0.000 0.000 3.695
ATOMIC_POSITIONS crystal
As 0.000 0.000 0.000
Ru 0.500 0.500 0.500
N 0.000 0.000 0.500
N 0.000 0.500 0.000
N 0.500 0.000 0.000

! EuCu3Pd2 | Alexandria via LeMat-Bulk | GGA-PBE | optimized geometry; values from VASP
! **Energy of formation from the pure elements**: -0.355 eV/atom
! **Total moment**: 6.8 Bohr magnetons per cell
! **Density of states at the Fermi level**: 0.6483 states/eV/atom
! **E**: -35.1 eV/cell
&SYSTEM
  ibrav = 0, nat = 6, ntyp = 3
/
ATOMIC_SPECIES
Eu 151.96 Eu.upf
Cu 63.55 Cu.upf
Pd 106.42 Pd.upf
CELL_PARAMETERS angstrom
5.239 0.000 0.000
-2.620 4.537 0.000
0.000 0.000 4.280
ATOMIC_POSITIONS crystal
Eu 0.000 0.000 0.000
Cu 0.000 0.500 0.500
Cu 0.500 0.000 0.500
Cu 0.500 0.500 0.500
Pd 0.333 0.667 0.000
Pd 0.667 0.333 0.000

! ReTe2Rh | Alexandria via LeMat-Bulk | GGA-PBE | optimized geometry; values from VASP
! **Distance to the lowest polymorph of the same formula**: 620 meV/atom
! **E_form (uncorrected)**: 798 meV/atom
! **Total moment**: 5.0 Bohr magnetons per cell
! **Density of states at the Fermi level**: 1.1487 states/eV/atom
! **E**: -91.6 eV/cell
&SYSTEM
  ibrav = 0, nat = 16, ntyp = 3
/
ATOMIC_SPECIES
Re 186.21 Re.upf
Te 127.60 Te.upf
Rh 102.91 Rh.upf
CELL_PARAMETERS angstrom
6.029 0.000 0.000
0.000 6.446 0.000
0.000 0.000 8.657
ATOMIC_POSITIONS crystal
Re 0.000 0.000 0.000
Re 0.000 0.500 0.500
Re 0.500 0.000 0.500
Re 0.500 0.500 0.000
Te 0.000 0.250 0.250
Te 0.000 0.250 0.750
Te 0.000 0.750 0.250
Te 0.000 0.750 0.750
Te 0.500 0.250 0.250
Te 0.500 0.250 0.750
Te 0.500 0.750 0.250
Te 0.500 0.750 0.750
Rh 0.000 0.000 0.500
Rh 0.000 0.500 0.000
Rh 0.500 0.000 0.000
Rh 0.500 0.500 0.500

! Be2HPt2 | Alexandria via LeMat-Bulk | GGA-PBE | optimized geometry; values from VASP
! **Total moment**: 0.0 Bohr magnetons per cell
! **Density of states at the Fermi level**: 0.2011 states/eV/atom
! **E**: -48.7 eV/cell
&SYSTEM
  ibrav = 0, nat = 10, ntyp = 3
/
ATOMIC_SPECIES
Be 9.01 Be.upf
H 1.01 H.upf
Pt 195.08 Pt.upf
CELL_PARAMETERS angstrom
5.589 0.000 0.000
0.000 5.589 0.000
0.000 0.000 3.490
ATOMIC_POSITIONS crystal
Be 0.138 0.362 0.000
Be 0.362 0.862 0.000
Be 0.638 0.138 0.000
Be 0.862 0.638 0.000
H 0.000 0.000 0.500
H 0.500 0.500 0.500
Pt 0.172 0.672 0.500
Pt 0.328 0.172 0.500
Pt 0.672 0.828 0.500
Pt 0.828 0.328 0.500

! PrNd7Tm2 | Alexandria via LeMat-Bulk | GGA-PBE | optimized geometry; values from VASP
! **Distance to the lowest polymorph of the same formula**: 481 meV/atom
! **Energy of formation from the pure elements**: 0.633 eV/atom
! **Total moment**: 0.0 Bohr magnetons per cell
! **Density of states at the Fermi level**: 1.4207 states/eV/atom
! **E**: -40.8 eV/cell
&SYSTEM
  ibrav = 0, nat = 10, ntyp = 3
/
ATOMIC_SPECIES
Pr 140.91 Pr.upf
Nd 144.24 Nd.upf
Tm 168.93 Tm.upf
CELL_PARAMETERS angstrom
4.500 -8.041 0.000
4.500 8.041 0.000
0.000 0.000 5.796
ATOMIC_POSITIONS crystal
Pr 0.000 0.000 0.000
Nd 0.063 0.297 0.500
Nd 0.231 0.769 0.000
Nd 0.297 0.063 0.500
Nd 0.500 0.500 0.500
Nd 0.703 0.937 0.500
Nd 0.769 0.231 0.000
Nd 0.937 0.703 0.500
Tm 0.296 0.704 0.500
Tm 0.704 0.296 0.500

! KRb2TcBr6 | Alexandria via LeMat-Bulk | GGA-PBE | optimized geometry; values from VASP
! **Distance to the lowest polymorph of the same formula**: 0 meV/atom
! **E_form (uncorrected)**: -1151 meV/atom
! **Total moment**: 4.0 Bohr magnetons per cell
! **Density of states at the Fermi level**: 0.6081 states/eV/atom
! **E**: -69.9 eV/cell
&SYSTEM
  ibrav = 0, nat = 20, ntyp = 4
/
ATOMIC_SPECIES
K 39.10 K.upf
Rb 85.47 Rb.upf
Tc 98.00 Tc.upf
Br 79.90 Br.upf
CELL_PARAMETERS angstrom
3.828 2.210 15.455
-3.828 2.210 15.455
0.000 -4.420 15.455
ATOMIC_POSITIONS crystal
K 0.085 0.085 0.085
K 0.915 0.915 0.915
Rb 0.191 0.191 0.191
Rb 0.359 0.359 0.359
Rb 0.641 0.641 0.641
Rb 0.809 0.809 0.809
Tc 0.000 0.000 0.000
Tc 0.500 0.500 0.500
Br 0.127 0.127 0.650
Br 0.127 0.650 0.127
Br 0.218 0.690 0.690
Br 0.310 0.310 0.782
Br 0.310 0.782 0.310
Br 0.350 0.873 0.873
Br 0.650 0.127 0.127
Br 0.690 0.218 0.690
Br 0.690 0.690 0.218
Br 0.782 0.310 0.310
Br 0.873 0.350 0.873
Br 0.873 0.873 0.350

! Li2SiRh | Alexandria via LeMat-Bulk | GGA-PBE | optimized geometry; values from VASP
! **E_form (uncorrected)**: -447 meV/atom
! **Total moment**: 0.0 Bohr magnetons per cell
! **Density of states at the Fermi level**: 0.5573 states/eV/atom
! **E**: -36.8 eV/cell
&SYSTEM
  ibrav = 0, nat = 8, ntyp = 3
/
ATOMIC_SPECIES
Li 6.94 Li.upf
Si 28.09 Si.upf
Rh 102.91 Rh.upf
CELL_PARAMETERS angstrom
8.513 0.000 0.000
0.000 2.950 0.000
-1.522 0.000 4.284
ATOMIC_POSITIONS crystal
Li 0.000 0.000 0.000
Li 0.243 0.000 0.855
Li 0.500 0.500 0.000
Li 0.743 0.500 0.855
Si 0.489 0.000 0.463
Si 0.989 0.500 0.463
Rh 0.260 0.500 0.385
Rh 0.760 0.000 0.385

! CaNi12P6 | Alexandria via LeMat-Bulk | GGA-PBE | optimized geometry; values from VASP
! **Energy of formation from the pure elements**: -0.506 eV/atom
! **Total moment**: 0.0 Bohr magnetons per cell
! **Density of states at the Fermi level**: 0.5717 states/eV/atom
! **E**: -113.5 eV/cell
&SYSTEM
  ibrav = 0, nat = 19, ntyp = 3
/
ATOMIC_SPECIES
Ca 40.08 Ca.upf
Ni 58.69 Ni.upf
P 30.97 P.upf
CELL_PARAMETERS angstrom
5.109 2.950 2.696
-5.109 2.950 2.696
0.000 -5.900 2.696
ATOMIC_POSITIONS crystal
Ca 0.000 0.000 0.000
Ni 0.129 0.500 0.871
Ni 0.129 0.871 0.500
Ni 0.180 0.457 0.457
Ni 0.457 0.180 0.457
Ni 0.457 0.457 0.180
Ni 0.500 0.129 0.871
Ni 0.500 0.871 0.129
Ni 0.543 0.543 0.820
Ni 0.543 0.820 0.543
Ni 0.820 0.543 0.543
Ni 0.871 0.129 0.500
Ni 0.871 0.500 0.129
P 0.236 0.236 0.670
P 0.236 0.670 0.236
P 0.330 0.764 0.764
P 0.670 0.236 0.236
P 0.764 0.330 0.764
P 0.764 0.764 0.330